Here is a geometry-optimized NaHI3 structure from Alexandria via LeMat-Bulk. Energies are from PBE.

a b c (Å): 4.8968 5.9303 14.3466
angles (deg): 96.02 99.81 90.02
Fractional coordinates of all 10 atoms:
1 Na 0.0000 0.0000 0.0000
2 Na 0.4540 0.4739 0.9064
3 H 0.6173 0.2886 0.2296
4 H 0.8396 0.1857 0.6774
5 I 0.0260 0.5124 0.0506
6 I 0.2131 0.5067 0.4236
7 I 0.2442 0.9679 0.4838
8 I 0.4283 0.9616 0.8559
9 I 0.6000 0.0165 0.1960
10 I 0.8571 0.4577 0.7111

Calculated values
- total DFT energy (no corrections) (eV per formula unit) = -11.53